[1]
Pr4Tm3Se8 | GGA-PBE | relaxed

CIF file:
```
data_Pr4Tm3Se8
_cell_length_a 11.705
_cell_length_b 11.716
_cell_length_c 8.278
_cell_angle_alpha 90.00
_cell_angle_beta 134.90
_cell_angle_gamma 90.00
_space_group_name_H-M_alt 'C 1 2/m 1'
_space_group_IT_number 12
loop_
_space_group_symop_operation_xyz
'x,y,z'
'-x,-y,-z'
'-x,y,-z'
'x,-y,z'
'x+1/2,y+1/2,z'
'-x+1/2,-y+1/2,-z'
'-x+1/2,y+1/2,-z'
'x+1/2,-y+1/2,z'
loop_
_atom_site_label
_atom_site_type_symbol
_atom_site_fract_x
_atom_site_fract_y
_atom_site_fract_z
Pr1 Pr 0.000 0.000 0.000
Pr2 Pr 0.000 0.500 0.500
Pr3 Pr 0.250 0.250 0.000
Tm1 Tm 0.000 0.500 0.000
Tm2 Tm 0.250 0.250 0.500
Se1 Se 0.000 0.242 0.500
Se2 Se 0.000 0.257 0.000
Se3 Se 0.249 0.000 0.514
Se4 Se 0.250 0.000 0.985
```

Computed properties:
offset from the most stable computed form	0	meV per atom
spin magnetization	0.000	μB/atom
crystal system	monoclinic
ΔE_f (raw)	-26.95	eV per formula unit
VASP energy	-5.82	eV/atom

=====

[2]
Zr6TlCd5 | GGA-PBE | relaxed

CIF file:
```
data_Zr6TlCd5
_cell_length_a 5.127
_cell_length_b 6.714
_cell_length_c 15.374
_cell_angle_alpha 90.00
_cell_angle_beta 90.00
_cell_angle_gamma 90.00
_space_group_name_H-M_alt 'I m m m'
_space_group_IT_number 71
_space_group_name_Hall '-I 2 2'
loop_
_atom_site_label
_atom_site_type_symbol
_atom_site_fract_x
_atom_site_fract_y
_atom_site_fract_z
Zr1 Zr 0.000 0.249 0.000
Zr2 Zr 0.000 0.251 0.333
Tl1 Tl 0.000 0.000 0.500
Cd1 Cd 0.000 0.000 0.166
Cd2 Cd 0.000 0.500 0.169
Cd3 Cd 0.000 0.500 0.500
```

Computed properties:
spin magnetization	0.000	μB/atom
calculated formation energy	-0.0574	eV per atom
crystal system	orthorhombic
VASP energy	-4.91	eV/atom

=====

[3]
CrCdIr2 | GGA-PBE | relaxed

CIF file:
```
data_CrCdIr2
_cell_length_a 4.025
_cell_length_b 4.025
_cell_length_c 3.822
_cell_angle_alpha 90.00
_cell_angle_beta 90.00
_cell_angle_gamma 90.00
_space_group_name_H-M_alt 'P 4/m m m'
_space_group_IT_number 123
_space_group_name_Hall '-P 4 2'
loop_
_atom_site_label
_atom_site_type_symbol
_atom_site_fract_x
_atom_site_fract_y
_atom_site_fract_z
Cr1 Cr 0.000 0.000 0.000
Cd1 Cd 0.500 0.500 0.000
Ir1 Ir 0.000 0.500 0.500
```

Computed properties:
spin magnetization	0.650	μB/atom
calculated formation energy	0.2042	eV per atom
crystal system	tetragonal
VASP energy	-6.86	eV/atom

=====

[4]
Na3Ga | GGA-PBE | relaxed

CIF file:
```
data_Na3Ga
_cell_length_a 7.614
_cell_length_b 7.614
_cell_length_c 7.614
_cell_angle_alpha 90.00
_cell_angle_beta 90.00
_cell_angle_gamma 90.00
_space_group_name_H-M_alt 'F m -3 m'
_space_group_IT_number 225
_space_group_name_Hall '-F 4 2 3'
loop_
_atom_site_label
_atom_site_type_symbol
_atom_site_fract_x
_atom_site_fract_y
_atom_site_fract_z
Na1 Na 0.000 0.000 0.000
Na2 Na 0.250 0.250 0.250
Ga1 Ga 0.000 0.000 0.500
```

Computed properties:
spin magnetization	0.000	μB/atom
calculated formation energy	0.0317	eV per atom
crystal system	cubic
VASP energy	-1.71	eV/atom

=====

[5]
LiP2Au | GGA-PBE | relaxed

CIF file:
```
data_LiP2Au
_cell_length_a 2.783
_cell_length_b 2.783
_cell_length_c 8.002
_cell_angle_alpha 90.00
_cell_angle_beta 90.00
_cell_angle_gamma 90.00
_space_group_name_H-M_alt 'P 4/m m m'
_space_group_IT_number 123
_space_group_name_Hall '-P 4 2'
loop_
_atom_site_label
_atom_site_type_symbol
_atom_site_fract_x
_atom_site_fract_y
_atom_site_fract_z
Li1 Li 0.000 0.000 0.000
P1 P 0.500 0.500 0.226
Au1 Au 0.000 0.000 0.500
```

Computed properties:
offset from the most stable computed form	523	meV per atom
spin magnetization	0.000	μB/atom
calculated formation energy	0.1712	eV per atom
crystal system	tetragonal
VASP energy	-3.83	eV/atom

=====

[6]
CaInSi2 | GGA-PBE | relaxed

CIF file:
```
data_CaInSi2
_cell_length_a 3.162
_cell_length_b 4.665
_cell_length_c 5.913
_cell_angle_alpha 90.00
_cell_angle_beta 90.00
_cell_angle_gamma 90.00
_space_group_name_H-M_alt 'P m m m'
_space_group_IT_number 47
loop_
_space_group_symop_operation_xyz
'x,y,z'
'-x,-y,-z'
'-x,-y,z'
'x,y,-z'
'x,-y,-z'
'-x,y,z'
'-x,y,-z'
'x,-y,z'
loop_
_atom_site_label
_atom_site_type_symbol
_atom_site_fract_x
_atom_site_fract_y
_atom_site_fract_z
Ca1 Ca 0.000 0.000 0.000
In1 In 0.500 0.000 0.500
Si1 Si 0.500 0.500 0.202
```

Computed properties:
spin magnetization	0.000	μB/atom
crystal system	orthorhombic
ΔE_f (raw)	-0.06	eV per formula unit
VASP energy	-3.91	eV/atom